Entry 1:
Ti2Zn3Ga3: relaxed, GGA-PBE.

abc: 3.9203 3.9910 7.7607
angles: 90.00 90.00 90.00
Space group Pmmm (No. 47)
One atom of each set of equivalent atoms:
1 Ti 0.0000 0.0000 0.2454 [2 per cell]
2 Zn 0.0000 0.5000 0.5000 [1 per cell]
3 Zn 0.5000 0.5000 0.2566 [2 per cell]
4 Ga 0.0000 0.5000 0.0000 [1 per cell]
5 Ga 0.5000 0.0000 0.0000 [1 per cell]
6 Ga 0.5000 0.0000 0.5000 [1 per cell]

Total DFT energy (no corrections)   -0.290 Ry/atom

Entry 2:
SmDySbP: relaxed, GGA-PBE.

abc: 4.1674 4.1674 21.7459
angles: 90.00 90.00 120.00
Space group R3m (No. 160, hexagonal axes)
One atom of each set of equivalent atoms:
1 Sm 0.0000 0.0000 0.0000 [3 per cell]
2 Dy 0.0000 0.0000 0.1863 [3 per cell]
3 Sb 0.0000 0.0000 0.7622 [3 per cell]
4 P 0.0000 0.0000 0.5895 [3 per cell]

Formation energy (no corrections)   -1250 meV/atom
Total DFT energy (no corrections)   -0.438 Ry/atom

Entry 3:
HgMo2Ru: relaxed, GGA-PBE.

abc: 5.5415 8.2635 2.8316
angles: 90.00 90.15 90.00
Space group C2/m (No. 12)
One atom of each set of equivalent atoms:
1 Hg 0.0000 0.0000 0.0000 [2 per cell]
2 Mo 0.2500 0.2500 0.5000 [4 per cell]
3 Ru 0.0000 0.5000 0.0000 [2 per cell]

Total DFT energy (no corrections)   -0.542 Ry/atom